Below is a geometry-optimized DyErZr2 structure, with properties calculated at the PBE level.

Cell: 4.692 4.692 4.792 Å, 90.00 90.00 90.00°
Element x y z (fractional)
Dy  0.000  0.000  0.000
Er  0.500  0.500  0.000
Zr  0.000  0.500  0.500
Zr  0.500  0.000  0.500

The formation energy from the elements comes out at 0.114 eV/atom. For the relative energy among the computed polymorphs, the calculation gives 0.038 eV/atom.